## Sc2ZnCu2 (GGA-PBE)

Data for a relaxed Sc2ZnCu2 crystal.

Calculated values
total moment = 0.000 μB per atom
energy of formation from the pure elements = -0.06 eV per atom
DFT total energy = -4.4864 eV per atom

a = 3.371 Å, b = 3.371 Å, c = 8.300 Å
α = 78.28°, β = 78.28°, γ = 90.00°
Fractional coordinates of all 5 atoms:
Sc  0.606  0.606  0.788
Zn  0.000  0.000  0.000
Cu  0.250  0.750  0.500
Sc  0.394  0.394  0.212
Cu  0.750  0.250  0.500